1.
! ZrGeIr (PBE, relaxed); values from VASP
&SYSTEM
  ibrav = 0, nat = 6, ntyp = 3
/
ATOMIC_SPECIES
Ge 72.64 Ge.upf
Ir 192.22 Ir.upf
Zr 91.22 Zr.upf
CELL_PARAMETERS angstrom
-3.997 -2.928 2.064
-3.072 4.392 0.294
2.149 -2.620 -4.163
ATOMIC_POSITIONS angstrom
Ge -5.490 -0.169 1.233
Ge -2.528 -0.346 -2.006
Ir -3.217 -0.892 0.359
Ir -0.097 -0.597 -2.701
Zr -0.478 0.099 0.159
Zr -1.198 -2.718 -0.959
! VASP energy (eV/atom): -8.151

=====

2.
! ZrGeIr (PBE, relaxed); values from VASP
&SYSTEM
  ibrav = 0, nat = 12, ntyp = 3
/
ATOMIC_SPECIES
Ge 72.64 Ge.upf
Ir 192.22 Ir.upf
Zr 91.22 Zr.upf
CELL_PARAMETERS angstrom
5.737 0.000 0.000
0.000 4.232 0.000
0.000 0.000 8.700
ATOMIC_POSITIONS angstrom
Ge 4.147 3.174 1.621
Ge 1.278 3.174 2.730
Ge 4.459 1.058 5.971
Ge 1.590 1.058 7.080
Ir 4.941 1.058 0.426
Ir 2.073 1.058 3.924
Ir 3.664 3.174 4.776
Ir 0.796 3.174 8.275
Zr 2.104 1.058 1.139
Zr 4.973 1.058 3.211
Zr 0.764 3.174 5.489
Zr 3.633 3.174 7.561
! VASP energy (eV/atom): -7.996

=====

3.
! ZrGeIr (PBE, relaxed); values from VASP
&SYSTEM
  ibrav = 0, nat = 12, ntyp = 3
/
ATOMIC_SPECIES
Ge 72.64 Ge.upf
Ir 192.22 Ir.upf
Zr 91.22 Zr.upf
CELL_PARAMETERS angstrom
6.612 0.000 0.000
0.000 4.070 0.000
0.000 0.000 7.603
ATOMIC_POSITIONS angstrom
Ge 1.523 3.052 0.909
Ge 4.829 3.052 2.892
Ge 1.783 1.017 4.711
Ge 5.089 1.017 6.694
Ir 5.605 3.052 0.474
Ir 2.299 3.052 3.328
Ir 4.313 1.017 4.275
Ir 1.007 1.017 7.129
Zr 3.450 1.017 1.413
Zr 0.144 1.017 2.388
Zr 6.468 3.052 5.215
Zr 3.162 3.052 6.190
! VASP energy (eV/atom): -8.227

=====

4.
! Zr4Ge6Ir7 (PBE, relaxed); values from VASP
&SYSTEM
  ibrav = 0, nat = 17, ntyp = 3
/
ATOMIC_SPECIES
Ge 72.64 Ge.upf
Ir 192.22 Ir.upf
Zr 91.22 Zr.upf
CELL_PARAMETERS angstrom
-4.119 4.119 4.119
4.119 -4.119 4.119
4.119 4.119 -4.119
ATOMIC_POSITIONS angstrom
Ge 0.000 0.000 2.587
Ge 0.000 0.000 5.651
Ge 0.000 2.587 0.000
Ge 2.587 0.000 0.000
Ge 0.000 5.651 0.000
Ge 5.651 0.000 0.000
Ir 0.000 0.000 0.000
Ir 0.000 2.060 4.119
Ir 2.060 0.000 4.119
Ir 0.000 4.119 2.060
Ir 4.119 0.000 2.060
Ir 2.060 4.119 0.000
Ir 4.119 2.060 0.000
Zr -2.060 2.060 2.060
Zr 2.060 -2.060 2.060
Zr 2.060 2.060 -2.060
Zr 2.060 2.060 2.060
! VASP energy (eV/atom): -8.051

=====

Number 1: volume 102.8 Å³/cell. Number 2: volume 211.2 Å³/cell. Number 3: volume 204.6 Å³/cell. Number 4: volume 279.6 Å³/cell.